Entry 1:
Density functional theory data (PBE) for NaAc2Ce3Se6 after structural relaxation.

Results
As for the symmetry: C2/m, No. 12. As for the magnetic moment: 3.4 μB/f.u. The total energy comes out at -5.7831 eV/atom. The value obtained for the raw formation energy is -1.76 eV per atom.

Cell: 9.7084 9.7084 8.7132 Å, 104.15 104.15 25.53°
Sites, in units of the cell vectors:
1 Na 0.0000 0.0000 0.0000
2 Ac 0.3338 0.3338 0.6681
3 Ac 0.6662 0.6662 0.3319
4 Ce 0.0000 0.0000 0.5000
5 Ce 0.3333 0.3333 0.1697
6 Ce 0.6667 0.6667 0.8303
7 Se 0.1626 0.1626 0.5904
8 Se 0.1661 0.1661 0.0701
9 Se 0.4963 0.4963 0.2527
10 Se 0.5037 0.5037 0.7473
11 Se 0.8339 0.8339 0.9299
12 Se 0.8374 0.8374 0.4096

Entry 2:
Density functional theory data (PBE) for AcCeBO5 after structural relaxation.

Results
As for the symmetry: C2/c, No. 15. As for the magnetic moment: 0.0 μB/f.u. The total energy comes out at -8.1574 eV/atom. The value obtained for the raw formation energy is -2.97 eV per atom.

Cell: 5.7714 5.7714 7.4905 Å, 100.04 100.04 108.25°
Sites, in units of the cell vectors:
1 Ac 0.1436 0.8564 0.7500
2 Ac 0.8564 0.1436 0.2500
3 Ce 0.5000 0.5000 0.0000
4 Ce 0.5000 0.5000 0.5000
5 B 0.1870 0.8130 0.2500
6 B 0.8130 0.1870 0.7500
7 O 0.0608 0.2401 0.8929
8 O 0.1754 0.6096 0.3567
9 O 0.2401 0.0608 0.3929
10 O 0.3904 0.8246 0.1433
11 O 0.3997 0.6003 0.7500
12 O 0.6003 0.3997 0.2500
13 O 0.6096 0.1754 0.8567
14 O 0.7599 0.9392 0.6071
15 O 0.8246 0.3904 0.6433
16 O 0.9392 0.7599 0.1071